The following is a PBE calculation of a relaxed NaTl2Hg4 crystal, from Alexandria.

ΔE_f (meV/atom): -47
Theoretical density (kg/m³): 9836
Energy (eV per atom): -1.084

a b c (Å): 6.537 11.286 11.296
angles (deg): 90.00 90.00 90.00
Space group Fmmm (No. 69)
Unique sites:
Na 0.000 0.000 0.000 x4
Tl 0.250 0.250 0.250 x8
Hg 0.000 0.000 0.303 x8
Hg 0.000 0.200 0.500 x8